1.
## ThHgBi (PBE)

Data for crystalline ThHgBi at its relaxed geometry.

Unit cell a=4.503 b=6.863 c=11.411 alpha=90.00 beta=90.00 gamma=90.00
Element x y z (fractional)
Th  0.000  0.500  0.599
Bi  0.500  0.750  0.750
Hg  0.500  0.500  0.405
Hg  0.000  0.500  0.905
Bi  0.500  0.250  0.750
Th  0.000  0.000  0.902
Bi  0.000  0.750  0.250
Hg  0.500  0.000  0.095
Th  0.500  0.000  0.401
Bi  0.000  0.250  0.250
Th  0.500  0.500  0.098
Hg  0.000  0.000  0.595

Computed properties:
SG = No. 63
E_tot = -50.29 eV for the cell shown



2.
## ZrU2 (PBE)

Data for crystalline ZrU2 at its relaxed geometry.

Unit cell a=5.677 b=5.677 c=5.677 alpha=60.00 beta=60.00 gamma=60.00
Element x y z (fractional)
Zr  0.000  0.000  0.000
U  0.625  0.125  0.625
U  0.625  0.625  0.125
U  0.625  0.625  0.625
Zr  0.250  0.250  0.250
U  0.125  0.625  0.625

Computed properties:
SG = No. 227
E_tot = -60.79 eV for the cell shown



3.
## GaS2I2Br2 (PBE)

Data for crystalline GaS2I2Br2 at its relaxed geometry.

Unit cell a=4.094 b=7.458 c=7.878 alpha=83.49 beta=74.94 gamma=74.07
Element x y z (fractional)
I  0.442  0.253  0.863
Ga  0.000  0.000  0.000
I  0.558  0.747  0.137
S  0.054  0.370  0.521
S  0.946  0.630  0.479
Br  0.225  0.828  0.722
Br  0.775  0.172  0.278

Computed properties:
ΔE_f (raw) = -133 meV per atom
SG = No. 12
E_tot = -18.66 eV for the cell shown



4.
## MnPdSe2 (PBE)

Data for crystalline MnPdSe2 at its relaxed geometry.

Unit cell a=3.649 b=3.649 c=6.802 alpha=74.44 beta=74.44 gamma=60.00
Element x y z (fractional)
Se  0.085  0.085  0.745
Mn  0.503  0.503  0.491
Se  0.249  0.249  0.254
Pd  0.664  0.664  0.009

Computed properties:
ΔE_f (raw) = -220 meV per atom
SG = No. 160
E_tot = -22.21 eV for the cell shown